# VRhOF2

A relaxed structure of VRhOF2 (GGA+U, Alexandria).

Output
The raw total energy comes out at -29.31 eV for the cell shown.

Unit cell a=4.0637 b=4.0637 c=3.8838 alpha=90.00 beta=90.00 gamma=90.00
Site moments in Bohr magnetons follow the coordinates.
Sites, in units of the cell vectors:
V 0.0000 0.0000 0.0000  1.98
F 0.0000 0.5000 0.0000  0.02
Rh 0.5000 0.5000 0.5000  1.65
O 0.0000 0.0000 0.5000  -0.11
F 0.5000 0.0000 0.0000  0.02